Entry from the Alexandria database: an optimized crystal structure of Na2VMoO4 (PBE+U).

Computed properties:
VASP energy, eV per atom: -6.4411
SG: P2/m, No. 10
Crystal system: monoclinic

abc: 3.184 5.506 5.713
angles: 108.67 90.00 90.00
Site moments in Bohr magnetons follow the coordinates.
Positions (direct):
O  0.000  0.253  0.795  0.03
O  0.500  0.776  0.797  0.01
O  0.000  0.747  0.205  0.03
O  0.500  0.224  0.203  0.01
Na  0.500  0.000  0.500  0.00
Na  0.000  0.500  0.500  0.00
V  0.000  0.000  0.000  1.96
Mo  0.500  0.500  0.000  2.71